## Sr2AcPdO6 (PBE-GGA)

Data for an optimized crystal structure of Sr2AcPdO6.

a b c (Å): 5.9888 6.1371 8.5096
angles (deg): 90.00 91.68 90.00
Last column: nearest neighbours and their distance in Å.
Sites, in units of the cell vectors:
Pd: 0.5000 0.0000 0.5000  6 O 2.02-2.04
O: 0.8935 0.5432 0.2223  1 Pd 2.03
Sr: 0.5204 0.5490 0.7489  6 O 2.55-2.76
O: 0.8166 0.7673 0.9357  1 Pd 2.04
Sr: 0.9796 0.0489 0.7510  6 O 2.55-2.76
O: 0.1834 0.2327 0.0643  1 Pd 2.04
O: 0.7659 0.8078 0.5534  1 Pd 2.02
O: 0.1065 0.4568 0.7777  1 Pd 2.03
O: 0.2341 0.1922 0.4466  1 Pd 2.02
Ac: 0.0000 0.5000 0.5000  6 O 2.40-2.45
O: 0.6834 0.2673 0.5643  1 Pd 2.04
Ac: 0.5000 0.0000 0.0000  6 O 2.40-2.45
O: 0.2659 0.6922 0.0535  1 Pd 2.02
O: 0.6065 0.0432 0.2777  1 Pd 2.03
O: 0.3166 0.7327 0.4357  1 Pd 2.04
Sr: 0.0204 0.9511 0.2490  6 O 2.55-2.76
O: 0.3935 0.9568 0.7223  1 Pd 2.03
Sr: 0.4796 0.4510 0.2511  6 O 2.55-2.76
Pd: 0.0000 0.5000 0.0000  6 O 2.02-2.04
O: 0.7341 0.3078 0.9465  1 Pd 2.02

## Properties
Size of the total moment in μB/f.u.: 1.065
Uncorrected formation energy in eV/atom: -2.03
E_tot in eV per formula unit: -62.692